The following is a DFT calculation (PBE) of a relaxed MgAsH16NO10 crystal.

Structure (CIF):
```
data_MgAsH16NO10
_symmetry_space_group_name_H-M 'P 1'
_symmetry_Int_Tables_number 1
_cell_length_a 6.1728
_cell_length_b 7.1313
_cell_length_c 11.5123
_cell_angle_alpha 90.39
_cell_angle_beta 90.00
_cell_angle_gamma 90.00
loop_
_symmetry_equiv_pos_as_xyz
'x,y,z'
loop_
_atom_site_label
_atom_site_fract_x
_atom_site_fract_y
_atom_site_fract_z
O1 0.0297 0.0018 0.5540
O2 0.8567 0.7014 0.4522
O3 0.7420 0.7280 0.2336
O4 0.2580 0.2280 0.7336
O5 0.1433 0.2014 0.9522
O6 0.5479 0.6988 0.0024
O7 0.4521 0.1988 0.5024
O8 0.0042 0.5028 0.6478
O9 0.2551 0.7800 0.7333
O10 0.9958 0.0028 0.1478
O11 0.5453 0.2995 0.0058
O12 0.7578 0.9992 0.9377
O13 0.8547 0.3001 0.4527
O14 0.6655 0.0039 0.7060
O15 0.2422 0.4992 0.4377
O16 0.4547 0.7995 0.5058
O17 0.1453 0.8001 0.9527
O18 0.3345 0.5039 0.2060
O19 0.7449 0.2800 0.2333
O20 0.9703 0.5018 0.0540
H1 0.5105 0.3878 0.7480
H2 0.6313 0.1855 0.9809
H3 0.2075 0.2103 0.8167
H4 0.1564 0.3237 0.6993
H5 0.3665 0.3143 0.4797
H6 0.1976 0.5030 0.1610
H7 0.6073 0.2376 0.4917
H8 0.7928 0.2953 0.3171
H9 0.3903 0.2621 0.9931
H10 0.9742 0.8879 0.5105
H11 0.8458 0.1831 0.1987
H12 0.5080 0.6229 0.7411
H13 0.3927 0.7376 0.9917
H14 0.3796 0.0176 0.3547
H15 0.6097 0.7621 0.4931
H16 0.3687 0.6855 0.4809
H17 0.6204 0.5176 0.8547
H18 0.2483 0.0053 0.2219
H19 0.6335 0.8143 0.9797
H20 0.4895 0.8878 0.2480
H21 0.1542 0.6831 0.6987
H22 0.2072 0.7953 0.8171
H23 0.8024 0.0030 0.6610
H24 0.0258 0.3879 0.0105
H25 0.7517 0.5053 0.7219
H26 0.7925 0.7103 0.3167
H27 0.2941 0.5027 0.2902
H28 0.7059 0.0027 0.7902
H29 0.8436 0.8237 0.1993
H30 0.4920 0.1229 0.2411
H31 0.0265 0.6146 0.0107
H32 0.9735 0.1146 0.5107
N1 0.3986 0.0079 0.2656
N2 0.6014 0.5079 0.7656
Mg1 0.6450 0.5020 0.1256
Mg2 0.3550 0.0020 0.6256
As1 0.9861 0.5009 0.4982
As2 0.0139 0.0009 0.9982
```

Calculated values
**Space-group type**: Pc
**V**: 8.7 Å³ per atom
**Total DFT energy (no corrections)**: -5.206 eV/atom